(1)
A plane-wave DFT calculation with PBE was carried out for a relaxed Li3Pu2WN6 crystal.

```
Li3Pu2WN6
1.0
5.720 -0.034 0.046
-2.888 4.937 0.046
-0.905 -1.567 5.055
Li Pu W N
3 2 1 6
Cartesian
-2.130 3.454 2.573 Li
4.057 -0.119 2.573 Li
0.963 1.668 2.573 Li
-0.023 3.282 0.046 Pu
2.855 1.620 0.046 Pu
0.000 0.000 0.000 W
2.817 1.817 4.046 N
1.938 3.355 1.163 N
-0.890 1.519 1.100 N
0.166 3.348 4.046 N
-0.011 -0.019 3.983 N
1.761 -0.012 1.100 N
```

Energy relative to the elements, uncorrected in eV per atom: -0.792
DFT total energy in eV per atom: -8.901
DOS(E_F) in states/eV per cell: 10.8

---

(2)
A plane-wave DFT calculation with PBE was carried out for a relaxed Li4Pu3WN8 crystal.

```
Li4Pu3WN8
1.0
-1.532 6.201 1.814
-4.044 -2.269 4.339
6.350 -1.936 -0.172
Li Pu W N
4 3 1 8
Cartesian
-0.766 3.101 0.907 Li
2.409 2.132 0.821 Li
0.000 0.000 0.000 Li
3.175 -0.968 -0.086 Li
-2.788 1.966 3.077 Pu
0.387 0.998 2.991 Pu
1.153 -2.102 2.084 Pu
-2.022 -1.134 2.170 W
3.028 -2.118 3.337 N
-0.348 -1.089 3.428 N
1.770 -0.039 1.629 N
2.214 1.178 4.302 N
-1.440 0.818 1.680 N
-0.996 2.036 4.353 N
1.122 3.085 2.553 N
-2.254 4.115 2.645 N
```

Energy relative to the elements, uncorrected in eV per atom: -0.796
DFT total energy in eV per atom: -8.934
DOS(E_F) in states/eV per cell: 17.2

---

(3)
A plane-wave DFT calculation with PBE was carried out for a relaxed LiYPu2N4 crystal.

```
LiYPu2N4
1.0
-2.249 2.320 -1.180
2.085 -2.881 -4.622
-8.207 -7.469 0.954
Li Y Pu N
2 2 4 8
Cartesian
-6.627 -5.612 -3.418 Li
-1.744 -2.418 -1.430 Li
-5.953 -5.966 -0.385 Y
-2.419 -2.065 -4.462 Y
-3.875 -5.448 -3.325 Pu
-1.357 0.274 -1.888 Pu
-4.496 -2.583 -1.523 Pu
-7.014 -8.304 -2.960 Pu
-0.415 -1.769 -2.687 N
-5.713 -4.219 -2.421 N
-7.956 -6.261 -2.161 N
-2.659 -3.811 -2.426 N
-4.104 -3.735 0.477 N
0.000 0.000 0.000 N
-5.291 -7.152 -3.979 N
-3.081 -0.878 -0.869 N
```

Energy relative to the elements, uncorrected in eV per atom: -1.156
DFT total energy in eV per atom: -9.949
DOS(E_F) in states/eV per cell: 22.2

---

(4)
A plane-wave DFT calculation with PBE was carried out for a relaxed LiPuZrN3 crystal.

```
LiPuZrN3
1.0
3.217 0.000 0.000
0.000 6.863 0.795
0.000 -1.831 6.385
Li Pu Zr N
2 2 2 6
Cartesian
0.804 -0.524 3.745 Li
2.413 5.557 3.435 Li
0.804 4.169 1.789 Pu
2.413 0.864 5.391 Pu
2.413 4.251 5.743 Zr
0.804 0.782 1.437 Zr
0.804 4.494 3.998 N
2.413 5.897 1.594 N
2.413 2.473 1.196 N
2.413 0.539 3.182 N
0.804 2.560 5.985 N
0.804 -0.864 5.587 N
```

Energy relative to the elements, uncorrected in eV per atom: -0.974
DFT total energy in eV per atom: -9.269
DOS(E_F) in states/eV per cell: 14.6

---

(5)
A plane-wave DFT calculation with PBE was carried out for a relaxed LiPu4ZrN8 crystal.

```
LiPu4ZrN8
1.0
-0.605 4.608 -5.035
-6.043 3.003 -1.188
-1.030 6.192 1.128
Li Pu Zr N
1 4 1 8
Cartesian
-6.633 7.656 -6.183 Li
-4.221 5.725 -3.578 Pu
-4.153 9.212 -5.057 Pu
-6.853 8.415 -3.147 Pu
-7.153 10.703 -5.647 Pu
-3.422 8.185 -1.423 Zr
-5.544 7.895 -1.433 N
-2.772 8.713 -3.394 N
-2.464 6.365 -0.827 N
-1.894 3.528 -1.206 N
-1.974 5.828 -3.753 N
-4.999 4.935 -1.614 N
-5.336 7.499 -4.414 N
-5.784 10.273 -3.890 N
```

Energy relative to the elements, uncorrected in eV per atom: -0.909
DFT total energy in eV per atom: -10.509
DOS(E_F) in states/eV per cell: 24.1

---

(6)
A plane-wave DFT calculation with PBE was carried out for a relaxed Li2PuZrN4 crystal.

```
Li2PuZrN4
1.0
-2.544 2.115 0.611
-0.615 -2.154 4.895
3.243 2.839 3.676
Li Pu Zr N
2 1 1 4
Cartesian
3.243 2.839 3.676 Li
0.350 2.477 2.143 Li
1.314 0.343 4.285 Pu
1.664 2.820 6.429 Zr
2.000 0.602 6.241 N
-1.915 2.198 2.940 N
-0.835 0.281 4.810 N
0.920 2.519 4.372 N
```

Energy relative to the elements, uncorrected in eV per atom: -0.974
DFT total energy in eV per atom: -8.475
DOS(E_F) in states/eV per cell: 2.9